BaThH6Rh2: optimized geometry, GGA-PBE.

a = 8.180 Å, b = 10.046 Å, c = 7.257 Å
α = 90.00°, β = 117.14°, γ = 90.00°
Space group C2/c (No. 15)
One atom of each set of equivalent atoms:
Ba 0.000 0.156 0.250 [4 per cell]
Th 0.000 0.392 0.750 [4 per cell]
H 0.080 0.403 0.118 [8 per cell]
H 0.166 0.249 0.629 [8 per cell]
H 0.189 0.037 0.004 [8 per cell]
Rh 0.192 0.138 0.821 [8 per cell]

**Final energy**: -4.8766 eV/atom